i) DFT (PBE) results for an optimized crystal structure of MnH2Rh2.

Cell lengths 3.042, 3.042, 5.677 Å; angles 74.46, 74.46, 90.00 degrees
Fractional positions:
H (0.750, 0.250, 0.500)
H (0.250, 0.750, 0.500)
Mn (0.000, 0.000, 0.000)
Rh (0.355, 0.355, 0.290)
Rh (0.645, 0.645, 0.710)

=====

ii) DFT (PBE) results for an optimized crystal structure of MnH2Rh2.

Cell lengths 5.758, 5.758, 2.948 Å; angles 90.00, 90.00, 90.00 degrees
Fractional positions:
H (0.293, 0.793, 0.000)
H (0.793, 0.707, 0.000)
H (0.707, 0.207, 0.000)
H (0.207, 0.293, 0.000)
Mn (0.000, 0.000, 0.000)
Mn (0.500, 0.500, 0.000)
Rh (0.168, 0.668, 0.500)
Rh (0.668, 0.832, 0.500)
Rh (0.832, 0.332, 0.500)
Rh (0.332, 0.168, 0.500)

=====

Bottom line: i), by a margin of 105 meV/atom.

=====

i) DFT (PBE) results for an optimized crystal structure of MnHRuRh2.

Cell lengths 3.863, 3.863, 3.881 Å; angles 90.00, 90.00, 90.00 degrees
Fractional positions:
Ru (0.000, 0.000, 0.500)
Mn (0.500, 0.500, 0.500)
Rh (0.000, 0.500, 0.000)
Rh (0.500, 0.000, 0.000)
H (0.000, 0.000, 0.000)

=====

ii) DFT (PBE) results for an optimized crystal structure of MnHRuRh2.

Cell lengths 3.798, 3.798, 3.853 Å; angles 90.00, 90.00, 90.00 degrees
Fractional positions:
Ru (0.500, 0.500, 0.500)
Mn (0.000, 0.000, 0.500)
Rh (0.000, 0.500, 0.000)
Rh (0.500, 0.000, 0.000)
H (0.000, 0.000, 0.000)

=====

Bottom line: i), by a margin of 120 meV/atom.

=====

i) DFT (PBE) results for an optimized crystal structure of ScMnHRh2.

Cell lengths 4.079, 4.079, 3.874 Å; angles 90.00, 90.00, 90.00 degrees
Fractional positions:
Sc (0.000, 0.000, 0.500)
H (0.000, 0.000, 0.000)
Mn (0.500, 0.500, 0.500)
Rh (0.000, 0.500, 0.000)
Rh (0.500, 0.000, 0.000)

=====

ii) DFT (PBE) results for an optimized crystal structure of ScMnHRh2.

Cell lengths 4.178, 4.178, 3.656 Å; angles 90.00, 90.00, 90.00 degrees
Fractional positions:
Sc (0.500, 0.500, 0.500)
H (0.000, 0.000, 0.000)
Mn (0.000, 0.000, 0.500)
Rh (0.000, 0.500, 0.000)
Rh (0.500, 0.000, 0.000)

=====

Bottom line: ii), by a margin of 62 meV/atom.

=====

i) DFT (PBE) results for an optimized crystal structure of Mn2ZnHRh.

Cell lengths 3.593, 3.593, 4.042 Å; angles 90.00, 90.00, 90.00 degrees
Fractional positions:
H (0.000, 0.000, 0.000)
Zn (0.500, 0.500, 0.500)
Mn (0.000, 0.500, 0.000)
Mn (0.500, 0.000, 0.000)
Rh (0.000, 0.000, 0.500)

=====

ii) DFT (PBE) results for an optimized crystal structure of Mn2ZnHRh.

Cell lengths 3.670, 3.670, 4.065 Å; angles 90.00, 90.00, 90.00 degrees
Fractional positions:
H (0.000, 0.000, 0.000)
Zn (0.000, 0.000, 0.500)
Mn (0.000, 0.500, 0.000)
Mn (0.500, 0.000, 0.000)
Rh (0.500, 0.500, 0.500)

=====

Bottom line: ii), by a margin of 145 meV/atom.

=====

i) DFT (PBE) results for an optimized crystal structure of ZrMnHRh2.

Cell lengths 4.096, 4.096, 3.854 Å; angles 90.00, 90.00, 90.00 degrees
Fractional positions:
H (0.000, 0.000, 0.000)
Mn (0.000, 0.000, 0.500)
Rh (0.000, 0.500, 0.000)
Rh (0.500, 0.000, 0.000)
Zr (0.500, 0.500, 0.500)

=====

ii) DFT (PBE) results for an optimized crystal structure of ZrMnHRh2.

Cell lengths 4.024, 4.024, 4.047 Å; angles 90.00, 90.00, 90.00 degrees
Fractional positions:
H (0.000, 0.000, 0.000)
Mn (0.500, 0.500, 0.500)
Rh (0.000, 0.500, 0.000)
Rh (0.500, 0.000, 0.000)
Zr (0.000, 0.000, 0.500)

=====

Bottom line: i), by a margin of 67 meV/atom.

=====

i) DFT (PBE) results for an optimized crystal structure of ZrMn2HRh.

Cell lengths 4.004, 4.004, 3.964 Å; angles 90.00, 90.00, 90.00 degrees
Fractional positions:
H (0.000, 0.000, 0.000)
Mn (0.000, 0.500, 0.000)
Mn (0.500, 0.000, 0.000)
Rh (0.000, 0.000, 0.500)
Zr (0.500, 0.500, 0.500)

=====

ii) DFT (PBE) results for an optimized crystal structure of ZrMn2HRh.

Cell lengths 3.816, 3.816, 4.388 Å; angles 90.00, 90.00, 90.00 degrees
Fractional positions:
H (0.000, 0.000, 0.000)
Mn (0.000, 0.500, 0.000)
Mn (0.500, 0.000, 0.000)
Rh (0.500, 0.500, 0.500)
Zr (0.000, 0.000, 0.500)

=====

Bottom line: ii), by a margin of 32 meV/atom.

=====

i) DFT (PBE) results for an optimized crystal structure of Zr2MnHRh.

Cell lengths 4.532, 4.532, 3.510 Å; angles 90.00, 90.00, 90.00 degrees
Fractional positions:
H (0.000, 0.000, 0.000)
Mn (0.500, 0.500, 0.500)
Rh (0.000, 0.000, 0.500)
Zr (0.000, 0.500, 0.000)
Zr (0.500, 0.000, 0.000)

=====

ii) DFT (PBE) results for an optimized crystal structure of Zr2MnHRh.

Cell lengths 4.548, 4.548, 3.428 Å; angles 90.00, 90.00, 90.00 degrees
Fractional positions:
H (0.000, 0.000, 0.000)
Mn (0.000, 0.000, 0.500)
Rh (0.500, 0.500, 0.500)
Zr (0.000, 0.500, 0.000)
Zr (0.500, 0.000, 0.000)

=====

Bottom line: ii), by a margin of 103 meV/atom.

=====

i) DFT (PBE) results for an optimized crystal structure of MnHRu3.

Cell lengths 4.407, 4.407, 4.407 Å; angles 90.00, 90.00, 90.00 degrees
Fractional positions:
Ru (0.000, 0.500, 0.000)
Ru (0.000, 0.000, 0.500)
Ru (0.500, 0.000, 0.000)
Mn (0.000, 0.000, 0.000)
H (0.500, 0.500, 0.500)

=====

ii) DFT (PBE) results for an optimized crystal structure of MnHRu3.

Cell lengths 8.792, 8.792, 4.680 Å; angles 95.02, 95.02, 17.80 degrees
Fractional positions:
Mn (0.941, 0.941, 0.322)
Mn (0.059, 0.059, 0.678)
H (0.251, 0.251, 0.762)
H (0.749, 0.749, 0.238)
Ru (0.181, 0.181, 0.398)
Ru (0.324, 0.324, 0.113)
Ru (0.557, 0.557, 0.197)
Ru (0.676, 0.676, 0.887)
Ru (0.443, 0.443, 0.803)
Ru (0.819, 0.819, 0.602)

=====

Bottom line: ii), by a margin of 1873 meV/atom.

=====

i) DFT (PBE) results for an optimized crystal structure of Mn2HRu.

Cell lengths 3.948, 3.948, 3.948 Å; angles 60.00, 60.00, 60.00 degrees
Fractional positions:
Ru (0.500, 0.500, 0.500)
Mn (0.250, 0.250, 0.250)
Mn (0.750, 0.750, 0.750)
H (0.000, 0.000, 0.000)

=====

ii) DFT (PBE) results for an optimized crystal structure of Mn2HRu.

Cell lengths 2.639, 2.639, 6.445 Å; angles 78.19, 78.19, 60.00 degrees
Fractional positions:
Mn (0.057, 0.057, 0.830)
Mn (0.277, 0.277, 0.168)
H (0.668, 0.668, 0.997)
Ru (0.498, 0.498, 0.505)

=====

Bottom line: ii), by a margin of 770 meV/atom.

=====

i) DFT (PBE) results for an optimized crystal structure of Mn2HRu.

Cell lengths 2.645, 2.645, 7.582 Å; angles 79.96, 79.96, 60.00 degrees
Fractional positions:
Ru (0.500, 0.500, 0.500)
Mn (0.072, 0.072, 0.784)
Mn (0.928, 0.928, 0.216)
H (0.000, 0.000, 0.000)

=====

ii) DFT (PBE) results for an optimized crystal structure of Mn2HRu.

Cell lengths 5.963, 5.963, 4.759 Å; angles 51.21, 51.21, 90.00 degrees
Fractional positions:
Ru (0.000, 0.000, 0.000)
Ru (0.750, 0.250, 0.500)
Mn (0.519, 0.125, 0.250)
Mn (0.231, 0.625, 0.250)
Mn (0.375, 0.481, 0.750)
Mn (0.875, 0.769, 0.750)
H (0.500, 0.500, 0.000)
H (0.250, 0.750, 0.500)

=====

Bottom line: ii), by a margin of 123 meV/atom.

=====

i) DFT (PBE) results for an optimized crystal structure of MnH2Ru.

Cell lengths 2.821, 2.821, 4.968 Å; angles 73.51, 73.51, 60.00 degrees
Fractional positions:
Ru (0.000, 0.000, 0.000)
Mn (0.500, 0.500, 0.500)
H (0.123, 0.123, 0.630)
H (0.877, 0.877, 0.370)

=====

ii) DFT (PBE) results for an optimized crystal structure of MnH2Ru.

Cell lengths 3.635, 3.635, 3.635 Å; angles 60.00, 60.00, 60.00 degrees
Fractional positions:
Ru (0.500, 0.500, 0.500)
Mn (0.000, 0.000, 0.000)
H (0.250, 0.250, 0.250)
H (0.750, 0.750, 0.750)

=====

iii) DFT (PBE) results for an optimized crystal structure of MnH2Ru.

Cell lengths 6.125, 6.125, 6.125 Å; angles 107.88, 107.88, 107.88 degrees
Fractional positions:
Mn (0.228, 0.083, 0.679)
Mn (0.772, 0.917, 0.321)
Mn (0.917, 0.321, 0.772)
Mn (0.321, 0.772, 0.917)
Mn (0.083, 0.679, 0.228)
Mn (0.679, 0.228, 0.083)
H (0.749, 0.585, 0.188)
H (0.188, 0.749, 0.585)
H (0.415, 0.812, 0.251)
H (0.585, 0.188, 0.749)
H (0.251, 0.415, 0.812)
H (0.812, 0.251, 0.415)
H (0.665, 0.895, 0.974)
H (0.974, 0.665, 0.895)
H (0.895, 0.974, 0.665)
H (0.335, 0.105, 0.026)
H (0.026, 0.335, 0.105)
H (0.105, 0.026, 0.335)
Ru (0.464, 0.155, 0.382)
Ru (0.155, 0.382, 0.464)
Ru (0.382, 0.464, 0.155)
Ru (0.536, 0.845, 0.618)
Ru (0.845, 0.618, 0.536)
Ru (0.618, 0.536, 0.845)

=====

iv) DFT (PBE) results for an optimized crystal structure of MnH2Ru.

Cell lengths 2.720, 2.720, 4.993 Å; angles 74.20, 74.20, 60.00 degrees
Fractional positions:
Mn (0.673, 0.673, 0.981)
H (0.068, 0.068, 0.796)
H (0.268, 0.268, 0.195)
Ru (0.491, 0.491, 0.528)

=====

Bottom line: iii), by a margin of 72 meV/atom.

=====

i) DFT (PBE) results for an optimized crystal structure of MnH2Ru2.

Cell lengths 4.012, 4.012, 4.149 Å; angles 61.08, 61.08, 90.00 degrees
Fractional positions:
Ru (0.750, 0.250, 0.500)
Ru (0.250, 0.750, 0.500)
Mn (0.000, 0.000, 0.000)
H (0.306, 0.306, 0.389)
H (0.694, 0.694, 0.611)

=====

ii) DFT (PBE) results for an optimized crystal structure of MnH2Ru2.

Cell lengths 2.800, 2.800, 6.057 Å; angles 76.64, 76.64, 90.00 degrees
Fractional positions:
Ru (0.358, 0.358, 0.283)
Ru (0.642, 0.642, 0.717)
Mn (0.000, 0.000, 0.000)
H (0.750, 0.250, 0.500)
H (0.250, 0.750, 0.500)

=====

iii) DFT (PBE) results for an optimized crystal structure of MnH2Ru2.

Cell lengths 5.681, 5.681, 2.774 Å; angles 90.00, 90.00, 90.00 degrees
Fractional positions:
Ru (0.153, 0.653, 0.500)
Ru (0.653, 0.847, 0.500)
Ru (0.847, 0.347, 0.500)
Ru (0.347, 0.153, 0.500)
Mn (0.000, 0.000, 0.000)
Mn (0.500, 0.500, 0.000)
H (0.309, 0.809, 0.000)
H (0.809, 0.691, 0.000)
H (0.691, 0.191, 0.000)
H (0.191, 0.309, 0.000)

=====

Bottom line: ii), by a margin of 48 meV/atom.